Here is crystalline Li2CdAu at its relaxed geometry from Alexandria. Energies are from PBE. Values from VASP.

The structure in Quantum ESPRESSO input format:
```
&SYSTEM
  ibrav = 0, nat = 4, ntyp = 3
/
ATOMIC_SPECIES
Cd 112.41 Cd.upf
Au 196.97 Au.upf
Li 6.94 Li.upf
CELL_PARAMETERS angstrom
-0.074 -3.755 -2.282
2.440 -1.291 2.046
-3.093 -1.576 2.694
ATOMIC_POSITIONS crystal
Cd 0.500 0.625 0.875
Au 0.000 0.625 0.375
Li 0.000 0.125 0.875
Li 0.500 0.125 0.375
```

energy above the lowest structure with this stoichiometry: 0.010 eV per atom
formation enthalpy at 0 K: -0.412 eV per atom

Here is crystalline Li4Cd3Au2 at its relaxed geometry from Alexandria. Energies are from PBE. Values from VASP.

The structure in Quantum ESPRESSO input format:
```
&SYSTEM
  ibrav = 0, nat = 9, ntyp = 3
/
ATOMIC_SPECIES
Li 6.94 Li.upf
Cd 112.41 Cd.upf
Au 196.97 Au.upf
CELL_PARAMETERS angstrom
4.725 0.000 0.000
0.000 5.256 -0.317
-2.363 -2.898 6.578
ATOMIC_POSITIONS crystal
Li 0.553 0.340 0.105
Li 0.769 0.696 0.538
Li 0.447 0.660 0.895
Li 0.231 0.304 0.462
Cd 0.874 0.332 0.748
Cd 0.126 0.668 0.252
Cd 0.000 0.000 0.000
Au 0.352 0.989 0.704
Au 0.648 0.011 0.296
```

energy above the lowest structure with this stoichiometry: 0.010 eV per atom
formation enthalpy at 0 K: -0.358 eV per atom

Which value of energy above the lowest structure with this stoichiometry does entry 1 give? 0.010 eV per atom